Compound: HoErSnAu
Source: Alexandria
Functional: PBE-GGA
Structure: optimized geometry

The space group is F-43m (No. 216) and the conventional cell measures 7.334, 7.334 and 7.334 Å, with angles of 90.00, 90.00 and 90.00 degrees. The inequivalent atoms are Ho at (0.000, 0.000, 0.000), Er at (0.000, 0.000, 0.500), Sn at (0.250, 0.250, 0.750) and Au at (0.250, 0.250, 0.250).

Its calculated formation energy is -0.705 eV per atom.

***

Compound: La5Hg2Pd2
Source: Alexandria
Functional: PBE-GGA
Structure: optimized geometry

The space group is Cmce (No. 64) and the conventional cell measures 16.180, 7.445 and 8.908 Å, with angles of 90.00, 90.00 and 90.00 degrees. The inequivalent atoms are La at (0.000, 0.000, 0.000), La at (0.127, 0.159, 0.322), Hg at (0.211, 0.000, 0.000) and Pd at (0.000, 0.133, 0.618).

Its calculated formation energy is -0.554 eV per atom.

***

Compound: Lu2NiH
Source: Alexandria
Functional: PBE-GGA
Structure: optimized geometry

The space group is P4/mmm (No. 123) and the conventional cell measures 3.174, 3.174 and 6.734 Å, with angles of 90.00, 90.00 and 90.00 degrees. The inequivalent atoms are Lu at (0.000, 0.000, 0.249), Ni at (0.500, 0.500, 0.000) and H at (0.500, 0.500, 0.500).

The offset from the most stable computed form comes out at 0.0000 eV per atom.

***

Compound: HfB
Source: Alexandria
Functional: PBE-GGA
Structure: optimized geometry

The space group is F-43m (No. 216) and the conventional cell measures 5.244, 5.244 and 5.244 Å, with angles of 90.00, 90.00 and 90.00 degrees. The inequivalent atoms are Hf at (0.000, 0.000, 0.000) and B at (0.250, 0.250, 0.250).

Its calculated formation energy is 0.547 eV per atom.

***

Compound: Y2TlOs
Source: Alexandria
Functional: PBE-GGA
Structure: optimized geometry

The space group is Pmmm (No. 47) and the conventional cell measures 3.408, 3.444 and 8.224 Å, with angles of 90.00, 90.00 and 90.00 degrees. The inequivalent atoms are Y at (0.000, 0.000, 0.203), Tl at (0.500, 0.500, 0.500) and Os at (0.500, 0.500, 0.000).

The offset from the most stable computed form comes out at 0.0000 eV per atom. Its calculated formation energy is -0.307 eV per atom.

***

Compound: Cs2CaPbBr6
Source: Alexandria
Functional: PBE-GGA
Structure: optimized geometry

The space group is Fm-3m (No. 225) and the conventional cell measures 11.766, 11.766 and 11.766 Å, with angles of 90.00, 90.00 and 90.00 degrees. The inequivalent atoms are Cs at (0.250, 0.250, 0.250), Ca at (0.000, 0.000, 0.000), Pb at (0.000, 0.000, 0.500) and Br at (0.000, 0.000, 0.245).

Its formation energy (no corrections) is -1624 meV per atom.

***

Compound: AlTe2Cl
Source: Alexandria
Functional: PBE-GGA
Structure: optimized geometry

The space group is Immm (No. 71) and the conventional cell measures 3.759, 5.067 and 10.738 Å, with angles of 90.00, 90.00 and 90.00 degrees. The inequivalent atoms are Al at (0.000, 0.000, 0.000), Te at (0.000, 0.500, 0.302) and Cl at (0.000, 0.000, 0.500).

Its formation energy (no corrections) is -138 meV per atom. The offset from the most stable computed form comes out at 0.4258 eV per atom.

***

Compound: Sm2Dy5Er3
Source: Alexandria
Functional: PBE-GGA
Structure: optimized geometry

The space group is Ibam (No. 72) and the conventional cell measures 9.323, 21.651 and 6.753 Å, with angles of 90.00, 90.00 and 90.00 degrees. The inequivalent atoms are Sm at (0.100, 0.124, 0.000), Dy at (0.000, 0.250, 0.250), Dy at (0.000, 0.500, 0.250), Dy at (0.091, 0.375, 0.500), Er at (0.000, 0.000, 0.250) and Er at (0.250, 0.124, 0.500).

The offset from the most stable computed form comes out at 0.2132 eV per atom. Its calculated formation energy is 0.413 eV per atom.

***

| no. | V (Å³/cell) |
| --- | --- |
| 1 | 394.5 |
| 2 | 1073.1 |
| 3 | 67.9 |
| 4 | 144.2 |
| 5 | 96.5 |
| 6 | 1629.0 |
| 7 | 204.5 |
| 8 | 1363.0 |